[1]
Computed, not measured: a geometry-optimized Au4S5 structure at the PBE-GGA level of DFT.

Output
uncorrected energy = -30.8 eV/cell
volume = 218.5 Å³ per cell

a = 7.214 Å, b = 7.214 Å, c = 4.848 Å
α = 90.00°, β = 90.00°, γ = 120.00°
Fractional positions:
1 Au 0.000 0.000 0.000
2 Au 0.000 0.500 0.500
3 Au 0.500 0.000 0.500
4 Au 0.500 0.500 0.500
5 S 0.000 0.000 0.500
6 S 0.333 0.667 0.211
7 S 0.333 0.667 0.789
8 S 0.667 0.333 0.211
9 S 0.667 0.333 0.789

---

[2]
Computed, not measured: a geometry-optimized Au3S2 structure at the PBE-GGA level of DFT.

Output
uncorrected energy = -33.6 eV/cell
volume = 214.5 Å³ per cell

a = 6.872 Å, b = 6.872 Å, c = 4.543 Å
α = 90.00°, β = 90.00°, γ = 90.00°
Fractional positions:
1 Au 0.000 0.000 0.000
2 Au 0.159 0.341 0.269
3 Au 0.341 0.841 0.731
4 Au 0.500 0.500 0.000
5 Au 0.659 0.159 0.731
6 Au 0.841 0.659 0.269
7 S 0.247 0.253 0.759
8 S 0.253 0.753 0.241
9 S 0.747 0.247 0.241
10 S 0.753 0.747 0.759

---

[3]
Computed, not measured: a geometry-optimized AuS structure at the PBE-GGA level of DFT.

Output
uncorrected energy = -6.0 eV/cell
volume = 35.1 Å³ per cell

a = 2.926 Å, b = 2.926 Å, c = 4.732 Å
α = 90.00°, β = 90.00°, γ = 120.00°
Fractional positions:
1 Au 0.000 0.000 0.000
2 S 0.667 0.333 0.500